# Zr3BiSb | Alexandria | PBE-GGA | relaxed
# - Mass density: 6.66 g/cm3
# - Energy: -30.95 eV per cell
# - Crystal system: cubic
# - Uncorrected formation energy: 2.7 eV per formula unit
data_Zr3BiSb
_chemical_formula_sum 'Zr3 Bi1 Sb1'
_symmetry_space_group_name_H-M 'P 1'
_symmetry_Int_Tables_number 1
_cell_length_a 5.320
_cell_length_b 5.320
_cell_length_c 5.320
_cell_angle_alpha 90.00
_cell_angle_beta 90.00
_cell_angle_gamma 90.00
loop_
_symmetry_equiv_pos_as_xyz
'x,y,z'
loop_
_atom_site_label
_atom_site_type_symbol
_atom_site_fract_x
_atom_site_fract_y
_atom_site_fract_z
Zr1 Zr 0.000 0.000 0.500
Zr2 Zr 0.000 0.500 0.000
Zr3 Zr 0.500 0.000 0.000
Bi1 Bi 0.500 0.500 0.500
Sb1 Sb 0.000 0.000 0.000

=====

# ZrBi2Sb | Alexandria | PBE-GGA | relaxed
# - Mass density: 9.31 g/cm3
# - Energy: -42.70 eV per cell
# - Crystal system: monoclinic
# - Uncorrected formation energy: -0.9 eV per formula unit
data_ZrBi2Sb
_chemical_formula_sum 'Zr2 Bi4 Sb2'
_symmetry_space_group_name_H-M 'P 1'
_symmetry_Int_Tables_number 1
_cell_length_a 4.159
_cell_length_b 10.342
_cell_length_c 5.615
_cell_angle_alpha 90.00
_cell_angle_beta 111.32
_cell_angle_gamma 90.00
loop_
_symmetry_equiv_pos_as_xyz
'x,y,z'
loop_
_atom_site_label
_atom_site_type_symbol
_atom_site_fract_x
_atom_site_fract_y
_atom_site_fract_z
Zr1 Zr 0.239 0.250 0.474
Zr2 Zr 0.761 0.750 0.526
Bi1 Bi 0.355 0.538 0.716
Bi2 Bi 0.355 0.962 0.716
Bi3 Bi 0.645 0.038 0.284
Bi4 Bi 0.645 0.462 0.284
Sb1 Sb 0.057 0.750 0.112
Sb2 Sb 0.943 0.250 0.888

=====

# Zr3Bi2Sb | Alexandria | PBE-GGA | relaxed
# - Mass density: 8.49 g/cm3
# - Energy: -78.72 eV per cell
# - Crystal system: monoclinic
# - Uncorrected formation energy: -1.8 eV per formula unit
data_Zr3Bi2Sb
_chemical_formula_sum 'Zr6 Bi4 Sb2'
_symmetry_space_group_name_H-M 'P 1'
_symmetry_Int_Tables_number 1
_cell_length_a 7.330
_cell_length_b 7.330
_cell_length_c 8.470
_cell_angle_alpha 106.81
_cell_angle_beta 106.81
_cell_angle_gamma 47.48
loop_
_symmetry_equiv_pos_as_xyz
'x,y,z'
loop_
_atom_site_label
_atom_site_type_symbol
_atom_site_fract_x
_atom_site_fract_y
_atom_site_fract_z
Zr1 Zr 0.002 0.998 0.750
Zr2 Zr 0.351 0.351 0.425
Zr3 Zr 0.351 0.351 0.925
Zr4 Zr 0.649 0.649 0.075
Zr5 Zr 0.649 0.649 0.575
Zr6 Zr 0.998 0.002 0.250
Bi1 Bi 0.174 0.174 0.087
Bi2 Bi 0.174 0.174 0.587
Bi3 Bi 0.826 0.826 0.413
Bi4 Bi 0.826 0.826 0.913
Sb1 Sb 0.498 0.502 0.250
Sb2 Sb 0.502 0.498 0.750

=====

# Zr7BiSb3 | Alexandria | PBE-GGA | relaxed
# - Mass density: 7.47 g/cm3
# - Energy: -78.80 eV per cell
# - Crystal system: orthorhombic
# - Uncorrected formation energy: -2.7 eV per formula unit
data_Zr7BiSb3
_chemical_formula_sum 'Zr7 Bi1 Sb3'
_symmetry_space_group_name_H-M 'P 1'
_symmetry_Int_Tables_number 1
_cell_length_a 7.571
_cell_length_b 7.571
_cell_length_c 7.571
_cell_angle_alpha 137.52
_cell_angle_beta 105.58
_cell_angle_gamma 89.64
loop_
_symmetry_equiv_pos_as_xyz
'x,y,z'
loop_
_atom_site_label
_atom_site_type_symbol
_atom_site_fract_x
_atom_site_fract_y
_atom_site_fract_z
Zr1 Zr 0.000 0.000 0.000
Zr2 Zr 0.096 0.765 0.330
Zr3 Zr 0.327 0.500 0.827
Zr4 Zr 0.435 0.765 0.670
Zr5 Zr 0.565 0.235 0.330
Zr6 Zr 0.673 0.500 0.173
Zr7 Zr 0.904 0.235 0.670
Bi1 Bi 0.000 0.500 0.500
Sb1 Sb 0.270 0.270 0.000
Sb2 Sb 0.500 0.000 0.500
Sb3 Sb 0.730 0.730 0.000

=====

# Zr2BiSb2 | Alexandria | PBE-GGA | relaxed
# - Mass density: 8.29 g/cm3
# - Energy: -61.23 eV per cell
# - Crystal system: tetragonal
# - Uncorrected formation energy: -1.4 eV per formula unit
data_Zr2BiSb2
_chemical_formula_sum 'Zr4 Bi2 Sb4'
_symmetry_space_group_name_H-M 'P 1'
_symmetry_Int_Tables_number 1
_cell_length_a 8.298
_cell_length_b 8.298
_cell_length_c 3.692
_cell_angle_alpha 90.00
_cell_angle_beta 90.00
_cell_angle_gamma 90.00
loop_
_symmetry_equiv_pos_as_xyz
'x,y,z'
loop_
_atom_site_label
_atom_site_type_symbol
_atom_site_fract_x
_atom_site_fract_y
_atom_site_fract_z
Zr1 Zr 0.145 0.355 0.000
Zr2 Zr 0.355 0.855 0.000
Zr3 Zr 0.645 0.145 0.000
Zr4 Zr 0.855 0.645 0.000
Bi1 Bi 0.000 0.000 0.500
Bi2 Bi 0.500 0.500 0.500
Sb1 Sb 0.144 0.644 0.500
Sb2 Sb 0.356 0.144 0.500
Sb3 Sb 0.644 0.856 0.500
Sb4 Sb 0.856 0.356 0.500

=====

# Zr2BiSb2 | Alexandria | PBE-GGA | relaxed
# - Mass density: 8.10 g/cm3
# - Energy: -30.56 eV per cell
# - Crystal system: tetragonal
# - Uncorrected formation energy: -1.3 eV per formula unit
data_Zr2BiSb2
_chemical_formula_sum 'Zr2 Bi1 Sb2'
_symmetry_space_group_name_H-M 'P 1'
_symmetry_Int_Tables_number 1
_cell_length_a 7.979
_cell_length_b 7.979
_cell_length_c 7.979
_cell_angle_alpha 149.55
_cell_angle_beta 149.55
_cell_angle_gamma 43.60
loop_
_symmetry_equiv_pos_as_xyz
'x,y,z'
loop_
_atom_site_label
_atom_site_type_symbol
_atom_site_fract_x
_atom_site_fract_y
_atom_site_fract_z
Zr1 Zr 0.104 0.104 0.000
Zr2 Zr 0.896 0.896 0.000
Bi1 Bi 0.500 0.500 0.000
Sb1 Sb 0.250 0.750 0.500
Sb2 Sb 0.750 0.250 0.500

=====

# Zr7BiSb2 | Alexandria | PBE-GGA | relaxed
# - Mass density: 6.29 g/cm3
# - Energy: -69.38 eV per cell
# - Crystal system: orthorhombic
# - Uncorrected formation energy: 2.6 eV per formula unit
data_Zr7BiSb2
_chemical_formula_sum 'Zr7 Bi1 Sb2'
_symmetry_space_group_name_H-M 'P 1'
_symmetry_Int_Tables_number 1
_cell_length_a 8.085
_cell_length_b 8.085
_cell_length_c 5.089
_cell_angle_alpha 90.00
_cell_angle_beta 90.00
_cell_angle_gamma 119.97
loop_
_symmetry_equiv_pos_as_xyz
'x,y,z'
loop_
_atom_site_label
_atom_site_type_symbol
_atom_site_fract_x
_atom_site_fract_y
_atom_site_fract_z
Zr1 Zr 0.000 0.000 0.000
Zr2 Zr 0.206 0.433 0.000
Zr3 Zr 0.283 0.717 0.500
Zr4 Zr 0.433 0.206 0.000
Zr5 Zr 0.567 0.794 0.000
Zr6 Zr 0.717 0.283 0.500
Zr7 Zr 0.794 0.567 0.000
Bi1 Bi 0.500 0.500 0.500
Sb1 Sb 0.201 0.799 0.000
Sb2 Sb 0.799 0.201 0.000

=====

# ZrBi2Sb2 | Alexandria | PBE-GGA | relaxed
# - Mass density: 8.64 g/cm3
# - Energy: -48.95 eV per cell
# - Crystal system: tetragonal
# - Uncorrected formation energy: 0.1 eV per formula unit
data_ZrBi2Sb2
_chemical_formula_sum 'Zr2 Bi4 Sb4'
_symmetry_space_group_name_H-M 'P 1'
_symmetry_Int_Tables_number 1
_cell_length_a 7.804
_cell_length_b 7.804
_cell_length_c 4.751
_cell_angle_alpha 90.00
_cell_angle_beta 90.00
_cell_angle_gamma 90.00
loop_
_symmetry_equiv_pos_as_xyz
'x,y,z'
loop_
_atom_site_label
_atom_site_type_symbol
_atom_site_fract_x
_atom_site_fract_y
_atom_site_fract_z
Zr1 Zr 0.000 0.000 0.000
Zr2 Zr 0.500 0.500 0.000
Bi1 Bi 0.168 0.332 0.500
Bi2 Bi 0.332 0.832 0.500
Bi3 Bi 0.668 0.168 0.500
Bi4 Bi 0.832 0.668 0.500
Sb1 Sb 0.151 0.651 0.000
Sb2 Sb 0.349 0.151 0.000
Sb3 Sb 0.651 0.849 0.000
Sb4 Sb 0.849 0.349 0.000

=====

# Zr3BiSb | Alexandria | PBE-GGA | relaxed
# - Mass density: 8.13 g/cm3
# - Energy: -71.17 eV per cell
# - Crystal system: monoclinic
# - Uncorrected formation energy: -1.9 eV per formula unit
data_Zr3BiSb
_chemical_formula_sum 'Zr6 Bi2 Sb2'
_symmetry_space_group_name_H-M 'P 1'
_symmetry_Int_Tables_number 1
_cell_length_a 8.021
_cell_length_b 3.867
_cell_length_c 8.287
_cell_angle_alpha 90.00
_cell_angle_beta 106.11
_cell_angle_gamma 90.00
loop_
_symmetry_equiv_pos_as_xyz
'x,y,z'
loop_
_atom_site_label
_atom_site_type_symbol
_atom_site_fract_x
_atom_site_fract_y
_atom_site_fract_z
Zr1 Zr 0.000 0.000 0.000
Zr2 Zr 0.027 0.500 0.308
Zr3 Zr 0.348 0.500 0.062
Zr4 Zr 0.435 0.500 0.589
Zr5 Zr 0.698 0.000 0.320
Zr6 Zr 0.962 0.500 0.628
Bi1 Bi 0.254 0.000 0.768
Bi2 Bi 0.695 0.500 0.023
Sb1 Sb 0.311 0.000 0.312
Sb2 Sb 0.717 0.000 0.685

=====

# Zr2BiSb2 | Alexandria | PBE-GGA | relaxed
# - Mass density: 8.46 g/cm3
# - Energy: -63.23 eV per cell
# - Crystal system: tetragonal
# - Uncorrected formation energy: -2.4 eV per formula unit
data_Zr2BiSb2
_chemical_formula_sum 'Zr4 Bi2 Sb4'
_symmetry_space_group_name_H-M 'P 1'
_symmetry_Int_Tables_number 1
_cell_length_a 8.094
_cell_length_b 8.094
_cell_length_c 3.803
_cell_angle_alpha 90.00
_cell_angle_beta 90.00
_cell_angle_gamma 90.00
loop_
_symmetry_equiv_pos_as_xyz
'x,y,z'
loop_
_atom_site_label
_atom_site_type_symbol
_atom_site_fract_x
_atom_site_fract_y
_atom_site_fract_z
Zr1 Zr 0.151 0.349 0.000
Zr2 Zr 0.349 0.849 0.000
Zr3 Zr 0.651 0.151 0.000
Zr4 Zr 0.849 0.651 0.000
Bi1 Bi 0.000 0.000 0.000
Bi2 Bi 0.500 0.500 0.000
Sb1 Sb 0.142 0.642 0.500
Sb2 Sb 0.358 0.142 0.500
Sb3 Sb 0.642 0.858 0.500
Sb4 Sb 0.858 0.358 0.500

=====

# Zr6BiSb | Alexandria | PBE-GGA | relaxed
# - Mass density: 8.02 g/cm3
# - Energy: -61.77 eV per cell
# - Crystal system: triclinic
# - Uncorrected formation energy: -2.5 eV per formula unit
data_Zr6BiSb
_chemical_formula_sum 'Zr6 Bi1 Sb1'
_symmetry_space_group_name_H-M 'P 1'
_symmetry_Int_Tables_number 1
_cell_length_a 5.661
_cell_length_b 5.665
_cell_length_c 5.666
_cell_angle_alpha 90.05
_cell_angle_beta 90.40
_cell_angle_gamma 90.26
loop_
_symmetry_equiv_pos_as_xyz
'x,y,z'
loop_
_atom_site_label
_atom_site_type_symbol
_atom_site_fract_x
_atom_site_fract_y
_atom_site_fract_z
Zr1 Zr 0.000 0.248 0.499
Zr2 Zr 0.000 0.752 0.501
Zr3 Zr 0.252 0.001 0.999
Zr4 Zr 0.498 0.500 0.747
Zr5 Zr 0.502 0.500 0.253
Zr6 Zr 0.748 0.999 0.001
Bi1 Bi 0.000 0.500 0.000
Sb1 Sb 0.500 0.000 0.500

=====

# Zr3BiSb | Alexandria | PBE-GGA | relaxed
# - Mass density: 6.40 g/cm3
# - Energy: -29.05 eV per cell
# - Crystal system: cubic
# - Uncorrected formation energy: 4.6 eV per formula unit
data_Zr3BiSb
_chemical_formula_sum 'Zr3 Bi1 Sb1'
_symmetry_space_group_name_H-M 'P 1'
_symmetry_Int_Tables_number 1
_cell_length_a 5.392
_cell_length_b 5.392
_cell_length_c 5.392
_cell_angle_alpha 90.00
_cell_angle_beta 90.00
_cell_angle_gamma 90.00
loop_
_symmetry_equiv_pos_as_xyz
'x,y,z'
loop_
_atom_site_label
_atom_site_type_symbol
_atom_site_fract_x
_atom_site_fract_y
_atom_site_fract_z
Zr1 Zr 0.000 0.000 0.500
Zr2 Zr 0.000 0.500 0.000
Zr3 Zr 0.500 0.000 0.000
Bi1 Bi 0.000 0.000 0.000
Sb1 Sb 0.500 0.500 0.500